1.
{"formula": "LiMoSe2", "functional": "meta-GGA SCAN", "state": "PBEsol geometry", "e_form_raw_kcal_per_mol_atoms": -9.0, "rho_g_cm3": 4.63, "dos_ef_per_ev_fu": 3.16, "lattice_angstrom": [[-2.929, 2.929, 5.452], [2.929, -2.929, 5.452], [2.929, 2.929, -5.452]], "species": ["Li", "Li", "Mo", "Mo", "Se", "Se", "Se", "Se"], "frac_coords": [[0.000, 0.000, 0.000], [0.750, 0.250, 0.500], [0.250, 0.750, 0.500], [0.500, 0.500, 0.000], [0.148, 0.625, 0.023], [0.375, 0.398, 0.523], [0.602, 0.125, 0.977], [0.875, 0.852, 0.477]]}

2.
{"formula": "LiMo4Se", "functional": "meta-GGA SCAN", "state": "PBEsol geometry", "e_form_raw_kcal_per_mol_atoms": 16.5, "rho_g_cm3": 7.83, "dos_ef_per_ev_fu": 5.95, "lattice_angstrom": [[0.000, 3.679, 3.679], [3.679, 0.000, 3.679], [3.679, 3.679, 0.000]], "species": ["Li", "Mo", "Mo", "Mo", "Mo", "Se"], "frac_coords": [[0.000, 0.000, 0.000], [0.122, 0.626, 0.626], [0.626, 0.122, 0.626], [0.626, 0.626, 0.122], [0.626, 0.626, 0.626], [0.250, 0.250, 0.250]]}